VASP calculation (PBEsol) on CuAgAsSe2 after structural relaxation.

Results
The density of states at the Fermi level comes out at 3.66 states/eV per cell. For the raw formation energy, the calculation gives 575 meV per atom.

Cell and atoms, written as POSCAR:
```
CuAgAsSe2
1.0
-0.7863 -1.6991 -4.0789
2.8136 -3.7889 1.0359
-3.8356 -2.3756 1.7290
Cu Se Ag As
1 2 1 1
Direct
0.0000 0.0000 0.0000 Cu
0.0000 0.5000 0.0000 Se
0.0000 0.0000 0.5000 Se
0.5000 0.5000 0.5000 Ag
0.5000 0.0000 0.0000 As
```

VASP calculation (PBEsol) on AgAsF7 after structural relaxation.

Results
The density of states at the Fermi level comes out at 5.01 states/eV per cell. For the raw formation energy, the calculation gives -1790 meV per atom.

Cell and atoms, written as POSCAR:
```
AgAsF7
1.0
-0.9511 0.6226 6.9518
2.5433 -7.1611 0.9893
9.1297 3.3732 0.9469
As F Ag
4 28 4
Direct
0.2500 0.3013 0.5590 As
0.7500 0.6987 0.4410 As
0.7500 0.1987 0.0590 As
0.2500 0.8013 0.9410 As
0.7500 0.4022 0.1338 F
0.4253 0.2342 0.4390 F
0.7500 0.9022 0.3662 F
0.7500 0.1105 0.6910 F
0.5727 0.1237 0.1721 F
0.9253 0.7658 0.5610 F
0.2500 0.0978 0.6338 F
0.4273 0.8763 0.8279 F
0.7500 0.6105 0.8090 F
0.7500 0.9883 0.9816 F
0.5747 0.7658 0.5610 F
0.9273 0.6237 0.3279 F
0.0727 0.3763 0.6721 F
0.2500 0.3895 0.1910 F
0.0727 0.8763 0.8279 F
0.4273 0.3763 0.6721 F
0.9253 0.2658 0.9390 F
0.0747 0.7342 0.0610 F
0.5747 0.2658 0.9390 F
0.2500 0.0117 0.0184 F
0.2500 0.8895 0.3090 F
0.7500 0.4883 0.5184 F
0.2500 0.5117 0.4816 F
0.0747 0.2342 0.4390 F
0.4253 0.7342 0.0610 F
0.5727 0.6237 0.3279 F
0.9273 0.1237 0.1721 F
0.2500 0.5978 0.8662 F
0.7500 0.3637 0.7423 Ag
0.7500 0.8637 0.7577 Ag
0.2500 0.1363 0.2423 Ag
0.2500 0.6363 0.2577 Ag
```

VASP calculation (PBEsol) on AgAsF6 after structural relaxation.

Results
For the raw formation energy, the calculation gives -1866 meV per atom.

Cell and atoms, written as POSCAR:
```
AgAsF6
1.0
5.8225 0.0000 0.0000
2.9113 5.0424 0.0000
2.9113 1.6808 4.8398
F As Ag
6 1 1
Direct
0.2136 0.7839 0.7890 F
0.7864 0.7864 0.2110 F
0.2161 0.7864 0.2110 F
0.2136 0.2136 0.7890 F
0.7864 0.2161 0.2110 F
0.7839 0.2136 0.7890 F
0.0000 0.0000 0.0000 As
0.5000 0.5000 0.5000 Ag
```

VASP calculation (PBEsol) on K2AgAsF6 after structural relaxation.

Results
The density of states at the Fermi level comes out at 0.00 states/eV per cell. For the raw formation energy, the calculation gives -2136 meV per atom.

Cell and atoms, written as POSCAR:
```
K2AgAsF6
1.0
-1.3824 -0.8962 5.9717
4.4965 -1.2941 4.0598
1.6605 4.2107 4.2294
F Ag K As
6 1 2 1
Direct
0.2326 0.2326 0.7674 F
0.2326 0.7674 0.7674 F
0.7674 0.2326 0.2326 F
0.7674 0.2326 0.7674 F
0.7674 0.7674 0.2326 F
0.2326 0.7674 0.2326 F
0.5000 0.5000 0.5000 Ag
0.7500 0.7500 0.7500 K
0.2500 0.2500 0.2500 K
0.0000 0.0000 0.0000 As
```

VASP calculation (PBEsol) on Rb2AgAsF6 after structural relaxation.

Results
The density of states at the Fermi level comes out at 0.00 states/eV per cell. For the raw formation energy, the calculation gives -2161 meV per atom.

Cell and atoms, written as POSCAR:
```
Rb2AgAsF6
1.0
-4.8594 3.7572 1.1024
-5.4510 -2.4101 1.8504
-1.9850 0.8996 5.8477
F Rb Ag As
6 2 1 1
Direct
0.2317 0.7683 0.2317 F
0.7683 0.7683 0.2317 F
0.7683 0.2317 0.2317 F
0.2317 0.2317 0.7683 F
0.7683 0.2317 0.7683 F
0.2317 0.7683 0.7683 F
0.2500 0.2500 0.2500 Rb
0.7500 0.7500 0.7500 Rb
0.5000 0.5000 0.5000 Ag
0.0000 0.0000 0.0000 As
```

VASP calculation (PBEsol) on Rb2AgAsF after structural relaxation.

Results
The density of states at the Fermi level comes out at 4.86 states/eV per cell. For the raw formation energy, the calculation gives -296 meV per atom.

Cell and atoms, written as POSCAR:
```
Rb2AgAsF
1.0
-3.3650 1.4516 1.7621
2.2159 -1.7591 5.6807
2.7901 5.6612 0.6647
F As Rb Ag
1 1 2 1
Direct
0.5000 0.0000 0.0000 F
0.5000 0.5000 0.5000 As
0.0000 0.5000 0.0000 Rb
0.0000 0.0000 0.5000 Rb
0.0000 0.0000 0.0000 Ag
```

VASP calculation (PBEsol) on SiAg2AsF after structural relaxation.

Results
The density of states at the Fermi level comes out at 1.98 states/eV per cell. For the raw formation energy, the calculation gives 244 meV per atom.

Cell and atoms, written as POSCAR:
```
SiAg2AsF
1.0
-0.2074 3.3047 3.2734
-0.9815 -3.2959 3.2653
4.6347 -0.5446 0.8434
Ag F As Si
2 1 1 1
Direct
0.0000 0.0000 0.5000 Ag
0.0000 0.5000 0.0000 Ag
0.5000 0.5000 0.5000 F
0.5000 0.0000 0.0000 As
0.0000 0.0000 0.0000 Si
```

VASP calculation (PBEsol) on FeAgAs after structural relaxation.

Results
The density of states at the Fermi level comes out at 5.87 states/eV per cell.

Cell and atoms, written as POSCAR:
```
FeAgAs
1.0
-3.3900 2.3381 -0.9809
-3.4358 -1.8417 -1.6506
-3.5371 -0.3302 2.3023
As Ag Fe
1 1 1
Direct
0.0000 0.0000 0.0000 As
0.7500 0.7500 0.7500 Ag
0.5000 0.5000 0.5000 Fe
```

VASP calculation (PBEsol) on AgGeAsIr2 after structural relaxation.

Results
The density of states at the Fermi level comes out at 4.36 states/eV per cell.

Cell and atoms, written as POSCAR:
```
AgGeAsIr2
1.0
-0.6572 3.8008 2.3670
-0.7789 -2.4529 3.7226
4.7502 0.1435 1.0885
Ge Ir As Ag
1 2 1 1
Direct
0.0000 0.0000 0.5000 Ge
0.0000 0.5000 0.0000 Ir
0.5000 0.0000 0.0000 Ir
0.0000 0.0000 0.0000 As
0.5000 0.5000 0.5000 Ag
```

VASP calculation (PBEsol) on AgGeAs2Se after structural relaxation.

Results
The density of states at the Fermi level comes out at 4.83 states/eV per cell. For the raw formation energy, the calculation gives 863 meV per atom.

Cell and atoms, written as POSCAR:
```
AgGeAs2Se
1.0
4.8625 0.0000 0.0000
0.0000 4.8625 0.0000
0.0000 0.0000 5.0761
Ag Ge As Se
1 1 2 1
Direct
0.0000 0.0000 0.0000 Ag
0.5000 0.5000 0.5000 Ge
0.5000 0.0000 0.0000 As
0.0000 0.5000 0.0000 As
0.0000 0.0000 0.5000 Se
```

VASP calculation (PBEsol) on AgAs3H2O9 after structural relaxation.

Cell and atoms, written as POSCAR:
```
AgAs3H2O9
1.0
7.2523 0.0090 0.0122
-2.1142 7.2931 -0.0280
-2.2604 -3.5997 6.6760
O As H Ag
18 6 4 2
Direct
0.9942 0.8231 0.5438 O
0.6064 0.5613 0.3510 O
0.2741 0.4608 0.0282 O
0.3936 0.4387 0.6490 O
0.8991 0.2117 0.7864 O
0.8115 0.7263 0.7387 O
0.6788 0.3138 0.4970 O
0.1885 0.2737 0.2613 O
0.1009 0.7883 0.2136 O
0.0872 0.5660 0.6825 O
0.6061 0.9203 0.3786 O
0.3212 0.6862 0.5030 O
0.3939 0.0797 0.6214 O
0.7259 0.5392 0.9718 O
0.9128 0.4340 0.3175 O
0.0058 0.1769 0.4562 O
0.6006 0.8655 0.9603 O
0.3994 0.1345 0.0397 O
0.3678 0.3444 0.1632 As
0.8115 0.1648 0.5472 As
0.1546 0.4327 0.4761 As
0.6322 0.6556 0.8368 As
0.8454 0.5673 0.5239 As
0.1885 0.8352 0.4528 As
0.8855 0.6441 0.0808 H
0.6332 0.7998 0.3879 H
0.3668 0.2002 0.6121 H
0.1145 0.3559 0.9192 H
0.6926 0.1842 0.9588 Ag
0.3074 0.8158 0.0412 Ag
```

VASP calculation (PBEsol) on AgAs2HSe after structural relaxation.

Results
The density of states at the Fermi level comes out at 3.93 states/eV per cell.

Cell and atoms, written as POSCAR:
```
AgAs2HSe
1.0
4.9387 0.0000 0.0000
0.0000 4.9387 0.0000
0.0000 0.0000 5.0833
As Ag H Se
2 1 1 1
Direct
0.0000 0.5000 0.0000 As
0.5000 0.0000 0.0000 As
0.0000 0.0000 0.0000 Ag
0.5000 0.5000 0.5000 H
0.0000 0.0000 0.5000 Se
```

VASP calculation (PBEsol) on HfAgAsSe2 after structural relaxation.

Results
The density of states at the Fermi level comes out at 3.22 states/eV per cell. For the raw formation energy, the calculation gives 606 meV per atom.

Cell and atoms, written as POSCAR:
```
HfAgAsSe2
1.0
4.8623 0.0000 0.0000
0.0000 4.8425 0.0000
0.0000 0.0000 4.8425
Ag Se As Hf
1 2 1 1
Direct
0.0000 0.0000 0.0000 Ag
0.0000 0.0000 0.5000 Se
0.0000 0.5000 0.0000 Se
0.5000 0.0000 0.0000 As
0.5000 0.5000 0.5000 Hf
```

VASP calculation (PBEsol) on HfAgAs2Se after structural relaxation.

Results
The density of states at the Fermi level comes out at 3.95 states/eV per cell. For the raw formation energy, the calculation gives 719 meV per atom.

Cell and atoms, written as POSCAR:
```
HfAgAs2Se
1.0
-3.7429 2.8616 0.9331
-2.5709 -2.2652 -3.3657
-1.5962 -3.1843 3.3623
Hf As Ag Se
1 2 1 1
Direct
0.5000 0.5000 0.5000 Hf
0.0000 0.5000 0.0000 As
0.5000 0.0000 0.0000 As
0.0000 0.0000 0.0000 Ag
0.0000 0.0000 0.5000 Se
```

VASP calculation (PBEsol) on Ag2HgAs after structural relaxation.

Results
The density of states at the Fermi level comes out at 2.92 states/eV per cell.

Cell and atoms, written as POSCAR:
```
Ag2HgAs
1.0
4.7233 0.0000 0.0000
2.3617 4.0905 0.0000
2.3617 1.3635 3.8566
Ag As Hg
2 1 1
Direct
0.0000 0.0000 0.0000 Ag
0.2500 0.2500 0.2500 Ag
0.5000 0.5000 0.5000 As
0.7500 0.7500 0.7500 Hg
```

VASP calculation (PBEsol) on AgHgAs2 after structural relaxation.

Results
The density of states at the Fermi level comes out at 1.83 states/eV per cell.

Cell and atoms, written as POSCAR:
```
AgHgAs2
1.0
-1.2671 2.5403 -0.6744
-1.2823 -2.2274 -1.3812
-6.0304 -1.0656 7.3168
As Hg Ag
2 1 1
Direct
0.5000 0.5000 0.7604 As
0.0000 0.0000 0.0053 As
0.0000 0.0000 0.4918 Hg
0.5000 0.5000 0.2424 Ag
```

VASP calculation (PBEsol) on AgHgAs2 after structural relaxation.

Results
The density of states at the Fermi level comes out at 1.39 states/eV per cell.

Cell and atoms, written as POSCAR:
```
AgHgAs2
1.0
-2.0047 0.0300 2.9721
3.0377 -2.2613 2.0717
2.4418 5.4523 -0.5704
As Hg Ag
2 1 1
Direct
0.2688 0.3239 0.5377 As
0.7312 0.6761 0.4623 As
0.0000 0.0000 0.0000 Hg
0.5000 0.5000 0.0000 Ag
```

VASP calculation (PBEsol) on AgHgAs2 after structural relaxation.

Results
The density of states at the Fermi level comes out at 1.30 states/eV per cell.

Cell and atoms, written as POSCAR:
```
AgHgAs2
1.0
-3.5459 -0.2242 0.0291
0.1953 -3.3881 -2.3088
1.9143 -1.3674 5.8171
As Hg Ag
2 1 1
Direct
0.7234 0.2234 0.4469 As
0.0611 0.0611 0.1223 As
0.4514 0.4514 0.9029 Hg
0.2640 0.7640 0.5280 Ag
```

VASP calculation (PBEsol) on AgHg2As2 after structural relaxation.

Results
The density of states at the Fermi level comes out at 1.95 states/eV per cell.

Cell and atoms, written as POSCAR:
```
AgHg2As2
1.0
3.8603 0.0000 0.0000
0.0000 3.8603 0.0000
-1.9301 -1.9301 7.8535
As Hg Ag
2 2 1
Direct
0.4254 0.4254 0.8508 As
0.5746 0.5746 0.1492 As
0.2500 0.7500 0.5000 Hg
0.7500 0.2500 0.5000 Hg
0.0000 0.0000 0.0000 Ag
```

VASP calculation (PBEsol) on AgHgAs2 after structural relaxation.

Results
The density of states at the Fermi level comes out at 1.97 states/eV per cell.

Cell and atoms, written as POSCAR:
```
AgHgAs2
1.0
2.8333 0.0000 0.0000
0.0000 5.2395 0.0000
0.0000 0.0000 5.2395
Hg Ag As
1 1 2
Direct
0.5000 0.5000 0.5000 Hg
0.5000 0.0000 0.0000 Ag
0.0000 0.0000 0.5000 As
0.0000 0.5000 0.0000 As
```

VASP calculation (PBEsol) on Ag3HgAs after structural relaxation.

Results
The density of states at the Fermi level comes out at 2.20 states/eV per cell.

Cell and atoms, written as POSCAR:
```
Ag3HgAs
1.0
5.0354 0.0000 0.0000
0.0000 5.0354 0.0000
0.0000 0.0000 5.0354
Hg Ag As
1 3 1
Direct
0.0000 0.0000 0.0000 Hg
0.5000 0.0000 0.0000 Ag
0.0000 0.0000 0.5000 Ag
0.0000 0.5000 0.0000 Ag
0.5000 0.5000 0.5000 As
```

VASP calculation (PBEsol) on Ag8HgAs2O10 after structural relaxation.

Results
The density of states at the Fermi level comes out at 16.81 states/eV per cell. For the raw formation energy, the calculation gives -384 meV per atom.

Cell and atoms, written as POSCAR:
```
Ag8HgAs2O10
1.0
5.8562 0.0000 0.0000
-2.9281 5.0716 0.0000
0.0000 0.0000 21.4066
Ag O Hg As
16 20 2 4
Direct
0.6524 0.6201 0.6918 Ag
0.6201 0.6524 0.1918 Ag
0.3261 0.3922 0.9519 Ag
0.0324 0.3799 0.1918 Ag
0.6667 0.3333 0.2823 Ag
0.3476 0.9676 0.1918 Ag
0.9676 0.3476 0.6918 Ag
0.6739 0.0661 0.4519 Ag
0.3333 0.6667 0.0669 Ag
0.9339 0.6078 0.4519 Ag
0.3799 0.0324 0.6918 Ag
0.3922 0.3261 0.4519 Ag
0.0661 0.6739 0.9519 Ag
0.6078 0.9339 0.9519 Ag
0.3333 0.6667 0.7823 Ag
0.6667 0.3333 0.5669 Ag
0.2955 0.0273 0.0945 O
0.2681 0.9727 0.5945 O
0.0000 0.0000 0.4911 O
0.0273 0.2955 0.5945 O
0.7045 0.7319 0.5945 O
0.6667 0.3333 0.9459 O
0.3333 0.6667 0.2533 O
0.0000 0.0000 0.2432 O
0.9727 0.2681 0.0945 O
0.7319 0.7045 0.0945 O
0.0000 0.0000 0.9911 O
0.3182 0.1283 0.3513 O
0.0000 0.0000 0.7432 O
0.8101 0.6818 0.3513 O
0.8717 0.1899 0.3513 O
0.6818 0.8101 0.8513 O
0.1283 0.3182 0.8513 O
0.6667 0.3333 0.7533 O
0.1899 0.8717 0.8513 O
0.3333 0.6667 0.4459 O
0.3333 0.6667 0.3488 Hg
0.6667 0.3333 0.8488 Hg
0.0000 0.0000 0.8239 As
0.0000 0.0000 0.5719 As
0.0000 0.0000 0.3239 As
0.0000 0.0000 0.0719 As
```

VASP calculation (PBEsol) on AgHgAsSe2 after structural relaxation.

Results
The density of states at the Fermi level comes out at 6.12 states/eV per cell. For the raw formation energy, the calculation gives 716 meV per atom.

Cell and atoms, written as POSCAR:
```
AgHgAsSe2
1.0
4.9350 0.0000 0.0000
0.0000 5.0136 0.0000
0.0000 0.0000 5.0136
Hg Ag Se As
1 1 2 1
Direct
0.5000 0.5000 0.5000 Hg
0.0000 0.0000 0.0000 Ag
0.0000 0.0000 0.5000 Se
0.0000 0.5000 0.0000 Se
0.5000 0.0000 0.0000 As
```

no.,magnetization (Bohr magnetons per cell),electronic total energy (eV/atom)
1,0.0,-3.515
2,0.0,-4.225
3,0.0,-4.364
4,0.0,-4.361
5,0.0,-4.365
6,0.3,-2.776
7,0.0,-3.637
8,3.3,-5.140
9,0.0,-5.497
10,0.0,-3.600
11,0.0,-5.843
12,0.7,-2.823
13,0.0,-4.719
14,0.0,-4.856
15,0.0,-2.828
16,0.0,-3.260
17,0.0,-3.422
18,0.0,-3.330
19,0.0,-2.575
20,0.0,-3.198
21,0.0,-2.151
22,0.0,-4.658
23,0.0,-2.621